Below is a crystal of La2AlOs relaxed with PBEsol, with properties calculated at the SCAN level.

abc: 8.263 3.957 7.074
angles: 90.00 109.77 90.00
Space group Cm (No. 8)
Asymmetric unit:
La1 0.000 0.000 0.000
La2 0.163 0.000 0.563
Al1 0.277 0.500 0.283
Os1 0.468 0.000 0.278

Properties
DFT formation energy ... -374 meV/atom
Magnetization ... 0.00 μB/cell



Below is a crystal of La2AlOs relaxed with PBEsol, with properties calculated at the SCAN level.

abc: 4.0553 4.0553 23.8951
angles: 90.00 90.00 120.00
Space group R-3m (No. 166, hexagonal axes)
Asymmetric unit:
La1 0.0000 0.0000 0.2324
Al1 0.0000 0.0000 0.0000
Os1 0.0000 0.0000 0.5000

Properties
DFT formation energy ... 60 meV/atom
Magnetization ... 0.00 μB/cell



Below is a crystal of LaAlP relaxed with PBEsol, with properties calculated at the SCAN level.

abc: 4.844 4.870 10.535
angles: 90.00 90.00 90.00
Space group Fmm2 (No. 42)
Asymmetric unit:
La1 0.000 0.000 0.000
Al1 0.000 0.000 0.712
P1 0.000 0.000 0.301

Properties
DFT formation energy ... -653 meV/atom
Magnetization ... 2.01 μB/cell



| no. | calculated density (g/cm³) |
| --- | --- |
| 1 | 7.55 |
| 2 | 7.25 |
| 3 | 5.26 |